Cr2OsCl | SCAN | PBEsol geometry

Lattice parameters (Å, degrees): 2.718 2.718 8.613 90.00 90.00 117.24
Each line ends with the local moment (μB).
Positions (direct):
Cl  0.500  0.500  0.200  0.07
Cr  0.000  0.000  0.987  2.69
Os  0.000  0.000  0.542  0.33
Cr  0.500  0.500  0.772  -1.90

## Properties
magnetic moment	1.3	Bohr magnetons per cell
distance to the lowest polymorph of the same formula	263	meV per atom
formation energy (no corrections)	470	meV/atom
VASP energy	-28.687	eV/atom
volume	56.6	Å³ per cell